## P
Pa2TeC | PBE | relaxed

Cell lengths 8.021, 8.021, 8.021 Å; angles 25.76, 25.76, 25.76 degrees
Element x y z (fractional)
Pa 0.000 0.000 0.000
Pa 0.130 0.130 0.130
Te 0.565 0.565 0.565
C 0.731 0.731 0.731


## Q
Pa2TeC | PBE | relaxed

Cell lengths 8.296, 3.726, 12.794 Å; angles 90.00, 90.00, 90.00 degrees
Element x y z (fractional)
Pa 0.091 0.250 0.107
Pa 0.225 0.250 0.784
Pa 0.275 0.750 0.284
Pa 0.409 0.750 0.607
Pa 0.591 0.250 0.393
Pa 0.725 0.250 0.716
Pa 0.775 0.750 0.216
Pa 0.909 0.750 0.893
Te 0.010 0.750 0.642
Te 0.490 0.250 0.142
Te 0.510 0.750 0.858
Te 0.990 0.250 0.358
C 0.075 0.250 0.928
C 0.425 0.750 0.428
C 0.575 0.250 0.572
C 0.925 0.750 0.072


Order from most stable to least stable according to the calculation: Q, P


## P
ThPa2C | PBE | relaxed

Cell lengths 8.911, 8.911, 8.911 Å; angles 22.28, 22.28, 22.28 degrees
Element x y z (fractional)
Th 0.000 0.000 0.000
Pa 0.223 0.223 0.223
Pa 0.777 0.777 0.777
C 0.500 0.500 0.500


## Q
ThPa2C | PBE | relaxed

Cell lengths 3.186, 3.186, 8.364 Å; angles 90.00, 90.00, 90.00 degrees
Element x y z (fractional)
Th 0.000 0.000 0.000
Pa 0.500 0.500 0.331
Pa 0.500 0.500 0.669
C 0.000 0.000 0.500


Order from most stable to least stable according to the calculation: P, Q


## P
PaTiC2 | PBE | relaxed

Cell lengths 5.858, 5.858, 5.858 Å; angles 33.07, 33.07, 33.07 degrees
Element x y z (fractional)
Pa 0.000 0.000 0.000
Ti 0.500 0.500 0.500
C 0.240 0.240 0.240
C 0.760 0.760 0.760


## Q
PaTiC2 | PBE | relaxed

Cell lengths 5.730, 3.371, 11.132 Å; angles 90.00, 90.00, 90.00 degrees
Element x y z (fractional)
Pa 0.084 0.250 0.142
Pa 0.416 0.750 0.642
Pa 0.584 0.250 0.358
Pa 0.916 0.750 0.858
Ti 0.085 0.750 0.397
Ti 0.415 0.250 0.897
Ti 0.585 0.750 0.103
Ti 0.915 0.250 0.603
C 0.160 0.250 0.753
C 0.235 0.250 0.491
C 0.265 0.750 0.991
C 0.340 0.750 0.253
C 0.660 0.250 0.747
C 0.735 0.250 0.009
C 0.765 0.750 0.509
C 0.840 0.750 0.247


## R
PaTiC2 | PBE | relaxed

Cell lengths 5.894, 5.894, 5.894 Å; angles 32.90, 32.90, 32.90 degrees
Element x y z (fractional)
Pa 0.000 0.000 0.000
Ti 0.826 0.826 0.826
C 0.424 0.424 0.424
C 0.567 0.567 0.567


Order from most stable to least stable according to the calculation: Q, P, R


## P
PaTiC | PBE | relaxed

Cell lengths 3.196, 3.203, 11.171 Å; angles 97.58, 90.23, 119.83 degrees
Element x y z (fractional)
Pa 0.214 0.417 0.142
Pa 0.786 0.583 0.858
Ti 0.373 0.764 0.616
Ti 0.627 0.236 0.384
C 0.072 0.160 0.713
C 0.928 0.840 0.287


## Q
PaTiC | PBE | relaxed

Cell lengths 4.435, 4.435, 4.435 Å; angles 130.66, 130.66, 72.35 degrees
Element x y z (fractional)
Pa 0.000 0.000 0.000
Ti 0.631 0.631 0.000
C 0.343 0.343 0.000


Order from most stable to least stable according to the calculation: P, Q